The following is a DFT calculation (PBE) of crystalline GeSb2IN at its relaxed geometry.

Values from the calculation:
ΔE to the lowest computed polymorph ... 942 meV per atom
Formation energy from raw total energies ... 8.9 eV per formula unit
D(E_F) ... 1.794 states/eV/atom
Crystal system ... tetragonal

Cell lengths 5.4223, 5.4223, 5.4912 Å; angles 90.00, 90.00, 90.00 degrees
Last column: nearest neighbours and their distance in Å.
Element x y z (fractional)
1 Sb 0.0000 0.5000 0.0000  2 Ge 2.71
2 Sb 0.5000 0.0000 0.0000  2 Ge 2.71
3 Ge 0.0000 0.0000 0.0000  4 Sb 2.71, 2 I 2.75
4 I 0.0000 0.0000 0.5000  2 Ge 2.75
5 N 0.5000 0.5000 0.5000  4 I 3.83, 8 Sb 3.86